[1]
Compound: ReAs2Ru
Source: Alexandria via LeMat-Bulk
Functional: PBE
Structure: relaxed

abc: 2.924 3.968 5.248
angles: 90.00 90.00 90.00
Fractional positions:
Re (0.000, 0.000, 0.463)
As (0.000, 0.000, 0.948)
As (0.500, 0.500, 0.299)
Ru (0.500, 0.500, 0.790)

Properties
- energy above the most stable polymorph in this dataset (meV per atom) = 96.8
- D(E_F) (states/eV/atom) = 0.678

=====

[2]
Compound: InGaN2
Source: Alexandria via LeMat-Bulk
Functional: PBE
Structure: relaxed

abc: 6.346 6.346 6.346
angles: 29.62 29.62 29.62
Fractional positions:
N (0.888, 0.888, 0.888)
N (0.112, 0.112, 0.112)
Ga (0.500, 0.500, 0.500)
In (0.000, 0.000, 0.000)

Properties
- D(E_F) (states/eV/atom) = 0.646
- uncorrected formation energy (eV per atom) = 0.5393

=====

[3]
Compound: NaPuRh
Source: Alexandria via LeMat-Bulk
Functional: PBE
Structure: relaxed

abc: 3.274 3.274 11.786
angles: 86.62 86.62 80.56
Fractional positions:
Na (0.731, 0.731, 0.629)
Na (0.269, 0.269, 0.371)
Pu (0.704, 0.704, 0.944)
Pu (0.296, 0.296, 0.056)
Rh (0.202, 0.202, 0.803)
Rh (0.798, 0.798, 0.197)

Properties
- D(E_F) (states/eV/atom) = 1.224
- raw total energy (eV per cell) = -46.1

=====

[4]
Compound: K4CuTe
Source: Alexandria via LeMat-Bulk
Functional: PBE
Structure: relaxed

abc: 6.991 6.991 6.991
angles: 60.00 60.00 60.00
Last column: magnetic moment on the atom in μB.
Fractional positions:
K (0.872, 0.376, 0.376)  0.04
K (0.376, 0.376, 0.872)  0.04
K (0.376, 0.872, 0.376)  0.04
K (0.376, 0.376, 0.376)  0.04
Cu (0.000, 0.000, 0.000)  0.02
Te (0.750, 0.750, 0.750)  0.06

Properties
- D(E_F) (states/eV/atom) = 0.309
- uncorrected formation energy (eV per atom) = 0.1949

=====

[5]
Compound: NdSiAgO4
Source: Alexandria via LeMat-Bulk
Functional: PBE
Structure: relaxed

abc: 6.080 6.221 6.712
angles: 90.00 99.87 90.00
Fractional positions:
Nd (0.803, 0.750, 0.452)
Nd (0.197, 0.250, 0.548)
Si (0.280, 0.750, 0.350)
Si (0.720, 0.250, 0.650)
Ag (0.440, 0.750, 0.885)
Ag (0.560, 0.250, 0.115)
O (0.891, 0.456, 0.665)
O (0.109, 0.956, 0.335)
O (0.109, 0.544, 0.335)
O (0.891, 0.044, 0.665)
O (0.470, 0.750, 0.202)
O (0.530, 0.250, 0.798)
O (0.448, 0.750, 0.573)
O (0.552, 0.250, 0.427)

Properties
- D(E_F) (states/eV/atom) = 0.000
- uncorrected formation energy (eV per atom) = -2.4119

=====

[6]
Compound: Dy2YPuS4
Source: Alexandria via LeMat-Bulk
Functional: PBE
Structure: relaxed

abc: 3.907 6.796 6.795
angles: 109.23 90.00 90.00
Last column: magnetic moment on the atom in μB.
Fractional positions:
Dy (0.500, 0.000, 0.500)  -0.02
Dy (0.000, 0.500, 0.500)  0.06
Y (0.000, 0.000, 0.000)  0.05
Pu (0.500, 0.500, 0.000)  5.35
S (0.500, 0.249, 0.252)  -0.01
S (0.500, 0.751, 0.748)  -0.01
S (0.000, 0.248, 0.747)  -0.04
S (0.000, 0.752, 0.253)  -0.04

Properties
- D(E_F) (states/eV/atom) = 0.950
- uncorrected formation energy (eV per atom) = -1.9622

=====

[7]
Compound: MnSbOs
Source: Alexandria via LeMat-Bulk
Functional: PBE
Structure: relaxed

abc: 5.940 5.940 2.923
angles: 75.76 75.76 28.48
Last column: magnetic moment on the atom in μB.
Fractional positions:
Mn (0.984, 0.984, 0.016)  0.38
Os (0.355, 0.355, 0.645)  -0.06
Sb (0.661, 0.661, 0.339)  -0.02

Properties
- energy above the most stable polymorph in this dataset (meV per atom) = 253.0
- D(E_F) (states/eV/atom) = 0.765
- uncorrected formation energy (eV per atom) = 0.4809

=====

[8]
Compound: Ba3Cd2In9
Source: Alexandria via LeMat-Bulk
Functional: PBE
Structure: relaxed

abc: 5.051 9.646 9.646
angles: 72.31 74.82 74.82
Fractional positions:
Ba (0.000, 0.000, 0.000)
Ba (0.690, 0.310, 0.310)
Ba (0.310, 0.690, 0.690)
Cd (0.500, 0.303, 0.697)
Cd (0.500, 0.697, 0.303)
In (0.000, 0.500, 0.500)
In (0.660, 0.972, 0.708)
In (0.340, 0.028, 0.292)
In (0.660, 0.708, 0.972)
In (0.340, 0.292, 0.028)
In (0.857, 0.867, 0.419)
In (0.143, 0.133, 0.581)
In (0.857, 0.419, 0.867)
In (0.143, 0.581, 0.133)

Properties
- D(E_F) (states/eV/atom) = 0.435
- raw total energy (eV per cell) = -37.1